# KCd2Pt2 | OQMD | GGA-PBE | relaxed
data_KCd2Pt2
_cell_length_a 8.400
_cell_length_b 8.400
_cell_length_c 2.939
_cell_angle_alpha 90.00
_cell_angle_beta 90.00
_cell_angle_gamma 90.00
_symmetry_space_group_name_H-M 'P 1'
_symmetry_Int_Tables_number 1
loop_
_symmetry_equiv_pos_as_xyz
'x,y,z'
loop_
_atom_site_label
_atom_site_type_symbol
_atom_site_fract_x
_atom_site_fract_y
_atom_site_fract_z
Cd1 Cd 0.630 0.130 0.000
Cd2 Cd 0.130 0.370 0.000
Cd3 Cd 0.870 0.630 0.000
Cd4 Cd 0.370 0.870 0.000
K1 K 0.000 0.000 0.000
K2 K 0.500 0.500 0.000
Pt1 Pt 0.335 0.165 0.500
Pt2 Pt 0.835 0.335 0.500
Pt3 Pt 0.165 0.665 0.500
Pt4 Pt 0.665 0.835 0.500
# - size of the total moment (μB per atom) = 0.00
# - VASP energy (eV/atom) = -3.2651
# - SG = P4/mbm

# K2CdPtS4 | OQMD | GGA-PBE | relaxed
data_K2CdPtS4
_cell_length_a 6.422
_cell_length_b 6.422
_cell_length_c 7.415
_cell_angle_alpha 125.25
_cell_angle_beta 125.25
_cell_angle_gamma 70.55
_symmetry_space_group_name_H-M 'P 1'
_symmetry_Int_Tables_number 1
loop_
_symmetry_equiv_pos_as_xyz
'x,y,z'
loop_
_atom_site_label
_atom_site_type_symbol
_atom_site_fract_x
_atom_site_fract_y
_atom_site_fract_z
Cd1 Cd 0.014 0.986 0.000
K1 K 0.514 0.486 0.000
K2 K 0.765 0.235 0.500
Pt1 Pt 0.264 0.736 0.500
S1 S 0.092 0.410 0.082
S2 S 0.356 0.982 0.420
S3 S 0.018 0.644 0.580
S4 S 0.590 0.908 0.918
# - size of the total moment (μB per atom) = 0.23
# - VASP energy (eV/atom) = -3.7817
# - SG = I-4

# KPuCd | OQMD | GGA-PBE | relaxed
data_KPuCd
_cell_length_a 5.515
_cell_length_b 5.515
_cell_length_c 5.515
_cell_angle_alpha 60.00
_cell_angle_beta 60.00
_cell_angle_gamma 60.00
_symmetry_space_group_name_H-M 'P 1'
_symmetry_Int_Tables_number 1
loop_
_symmetry_equiv_pos_as_xyz
'x,y,z'
loop_
_atom_site_label
_atom_site_type_symbol
_atom_site_fract_x
_atom_site_fract_y
_atom_site_fract_z
Cd1 Cd 0.000 0.000 0.000
K1 K 0.250 0.250 0.250
Pu1 Pu 0.750 0.750 0.750
# - size of the total moment (μB per atom) = 2.27
# - energy relative to the lowest polymorph listed for this composition (eV per atom) = 0.000
# - VASP energy (eV/atom) = -4.8466
# - SG = F-43m